No. 1
VASP calculation (PBE-GGA) on an optimized crystal structure of Ba2PmCdTe5.

```
18
Lattice="4.6458 0.0000 0.0000 -2.3229 10.2399 0.0000 0.0000 0.0000 14.1414" Properties=species:S:1:pos:R:3 pbc="T T T"
Ba 2.3229 7.6481 11.5925
Ba 0.0000 2.3909 9.7327
Ba 0.0000 2.5918 4.5218
Ba 2.3229 7.8490 2.6619
Pm 2.3229 6.0260 7.3008
Pm 0.0000 4.2139 0.2301
Cd 2.3229 1.1812 13.3131
Cd 0.0000 9.0586 6.2424
Te 0.0000 7.3081 0.1045
Te 2.3229 3.9599 12.1859
Te 0.0000 10.1650 10.8125
Te 0.0000 6.0065 9.4361
Te 2.3229 9.2188 7.8813
Te 2.3229 2.9317 7.1752
Te 0.0000 6.2800 5.1152
Te 2.3229 0.0749 3.7418
Te 2.3229 4.2333 2.3653
Te 0.0000 1.0211 0.8106
```

Output
SG ... Cmc2_1, No. 36
Formation energy (no corrections) ... -1.247 eV/atom

No. 2
VASP calculation (PBE-GGA) on an optimized crystal structure of Pu3Be2Si3.

```
16
Lattice="3.8956 0.0000 0.0000 -1.9478 5.2352 0.0000 0.0000 0.0000 14.3655" Properties=species:S:1:pos:R:3 pbc="T T T"
Pu 1.9478 3.7920 5.7081
Pu 0.0000 1.4432 12.8909
Pu 1.9478 3.7920 1.4747
Pu 0.0000 1.4432 8.6574
Pu 1.9478 0.4316 3.5914
Pu 0.0000 4.8036 10.7742
Be 1.9478 3.6823 12.7404
Be 0.0000 1.5529 5.5576
Be 1.9478 3.6823 8.8079
Be 0.0000 1.5529 1.6252
Si 1.9478 0.9341 6.4536
Si 0.0000 4.3010 13.6364
Si 1.9478 0.9341 0.7292
Si 0.0000 4.3010 7.9119
Si 0.0000 2.6992 3.5914
Si 1.9478 2.5360 10.7742
```

Output
SG ... Cmcm, No. 63
Formation energy (no corrections) ... -0.321 eV/atom

No. 3
VASP calculation (PBE-GGA) on an optimized crystal structure of La3DyCd.

```
5
Lattice="6.2778 0.5490 -0.3747 -0.8954 6.2378 -0.3747 -3.1174 -3.9308 4.6677" Properties=species:S:1:pos:R:3 pbc="T T T"
La 2.6425 0.3899 1.1075
La -0.2223 2.6618 1.1075
La 4.7789 6.0259 -0.5811
Dy -0.3706 -0.4672 3.4742
Cd 3.0864 3.8918 1.9529
```

Output
Formation energy ... -0.022 eV per atom
SG ... Imm2, No. 44

No. 4
VASP calculation (PBE-GGA) on an optimized crystal structure of CaPr2Si3Pt4.

```
10
Lattice="-0.7350 -0.8765 4.1516 -3.4454 -2.3360 -1.1032 6.1592 -8.7291 -0.7525" Properties=species:S:1:pos:R:3 pbc="T T T"
Ca 0.9894 -5.9708 1.1480
Pr 1.0569 -2.4569 1.9018
Pr 3.0122 -7.8784 -1.1301
Si 3.0796 -4.3645 -0.3763
Si 5.0673 -8.1407 1.4118
Si -0.9983 -2.1946 -0.6401
Pt -2.0902 -1.6062 1.5242
Pt 0.0000 0.0000 0.0000
Pt 3.6953 -6.1963 1.5794
Pt 0.3737 -4.1390 -0.8077
```

Output
SG ... P-4m2, No. 115
Formation energy (no corrections) ... -0.979 eV/atom

No. 5
VASP calculation (PBE-GGA) on an optimized crystal structure of Pm2PrSc.

```
4
Lattice="-0.0967 -0.0451 -3.4882 1.5108 -2.6117 -1.7538 -10.1155 -7.2622 -1.3714" Properties=species:S:1:pos:R:3 pbc="T T T"
Pr 0.0000 0.0000 0.0000
Sc -4.3507 -4.9595 -3.3067
Pm -7.1677 -5.4867 -1.4761
Pm -1.5336 -4.4323 -5.1374
```

Output
Formation energy ... 0.171 eV per atom
SG ... R-3m, No. 166

No. 6
VASP calculation (PBE-GGA) on an optimized crystal structure of Li5AgSe3.

```
18
Lattice="6.1099 0.0000 0.0000 -3.0549 6.4940 -2.1419 0.0000 -0.0226 8.5986" Properties=species:S:1:pos:R:3 pbc="T T T"
Li 1.4754 -0.0169 6.4490
Li 1.4826 4.3615 6.4019
Li 4.6025 2.1454 -0.0419
Li 1.5723 2.1099 0.0548
Li 1.5476 4.3374 2.1993
Li 4.6344 -0.0056 2.1497
Li -1.4826 4.3728 2.1026
Li 4.5375 2.0986 4.3541
Li 1.5073 2.1341 4.2574
Li -1.5476 4.3261 6.4986
Ag 4.4288 -0.0169 6.4490
Ag 1.6811 -0.0056 2.1497
Se 0.0000 0.0000 0.0000
Se 3.1473 2.2439 2.1552
Se 0.0000 -0.0113 4.2993
Se -0.0924 4.2275 4.3015
Se 2.9626 2.2326 6.4546
Se 0.0924 4.2388 0.0022
```

Output
SG ... C2/c, No. 15
Formation energy (no corrections) ... -1.061 eV/atom

No. 7
VASP calculation (PBE-GGA) on an optimized crystal structure of SrLiBeRu2.

```
5
Lattice="-0.9323 -4.7279 -0.6329 2.0015 -0.8944 3.7333 -4.2077 0.5114 2.3784" Properties=species:S:1:pos:R:3 pbc="T T T"
Ru -2.1039 0.2557 1.1892
Ru -0.4662 -2.3640 -0.3164
Li 1.0008 -0.4472 1.8667
Be -1.5692 -2.5555 2.7394
Sr 0.0000 0.0000 0.0000
```

Output
Formation energy ... 2.169 eV per atom
SG ... P4/mmm, No. 123

No. 8
VASP calculation (PBE-GGA) on an optimized crystal structure of Ca5Tl3Cl12.

```
80
Lattice="15.2100 0.0000 0.0000 -5.0700 14.3401 0.0000 -5.0700 -7.1700 12.4189" Properties=species:S:1:pos:R:3 pbc="T T T"
Tl 8.8725 4.4813 1.5524
Tl 8.8725 9.8588 1.5524
Tl -1.2675 6.2738 7.7618
Tl 1.2675 -0.8963 4.6571
Tl 11.4075 0.0000 3.1047
Tl 1.2675 7.1700 3.1047
Tl 3.8025 0.0000 9.3142
Tl -6.3375 7.1700 9.3142
Tl 3.8025 8.0663 7.7618
Tl 6.3375 0.8963 4.6571
Tl -3.8025 -2.6888 10.8665
Tl -3.8025 2.6888 10.8665
Ca -1.2675 3.5850 3.1047
Ca -2.5350 7.1700 0.0000
Ca 0.0000 0.0000 0.0000
Ca 3.8025 2.6888 1.5524
Ca 5.0700 -3.5850 6.2094
Ca 5.0700 7.1700 0.0000
Ca -3.8025 8.0663 4.6571
Ca 6.3375 -4.4813 10.8665
Ca 6.3375 6.2738 4.6571
Ca 1.2675 -3.5850 9.3142
Ca 3.8025 10.7551 3.1047
Ca 2.5350 3.5850 6.2094
Ca 7.6050 0.0000 0.0000
Ca -2.5350 -3.5850 6.2094
Ca -1.2675 0.8963 7.7618
Ca -1.2675 11.6513 1.5524
Ca -5.0700 3.5850 6.2094
Ca 8.8725 -0.8963 7.7618
Ca 1.2675 4.4813 10.8665
Ca 6.3375 3.5850 9.3142
Cl 9.9354 1.4711 0.2659
Cl 0.2045 4.5509 5.0683
Cl 11.3932 3.3809 3.7490
Cl 6.3518 2.0287 1.4070
Cl 1.9248 5.1591 8.4040
Cl 10.9875 7.2206 2.1945
Cl -1.2532 8.5222 5.1560
Cl -3.8168 12.3113 1.4070
Cl 0.6102 9.1810 8.4040
Cl 6.7574 7.1194 2.1945
Cl 7.8095 4.0903 4.8024
Cl 7.8095 12.8689 0.2659
Cl -4.4598 6.2726 6.4754
Cl 3.3825 5.2442 1.0534
Cl -5.2745 10.2498 4.8024
Cl 2.7395 -2.6192 7.3505
Cl -0.6102 1.1135 2.4605
Cl 3.3825 9.0453 1.1411
Cl 6.3518 10.9592 3.7490
Cl -0.8475 5.2948 1.1411
Cl -3.1452 8.2835 9.9584
Cl 3.7882 5.8179 5.1560
Cl 6.9948 8.0675 6.4754
Cl 5.9175 -1.9258 11.3654
Cl 1.2818 1.3521 7.2629
Cl -1.9248 -0.8975 5.9435
Cl -0.8475 9.0959 1.0534
Cl -1.2818 -3.7892 8.6699
Cl 8.2152 -1.1135 2.4605
Cl 5.9175 1.8752 11.2778
Cl 1.6874 -1.8752 11.2778
Cl 2.3305 9.7892 5.0683
Cl 5.6802 6.0565 9.9584
Cl 10.3445 -3.0797 7.6164
Cl 9.5298 0.8975 5.9435
Cl -2.7395 -5.6989 12.1530
Cl 1.6874 1.9258 11.3654
Cl 4.4598 -2.0110 4.0149
Cl -1.6874 0.0506 10.2243
Cl -2.7395 3.0797 7.6164
Cl 8.8868 -5.1413 11.0119
Cl 6.3232 -1.3521 7.2629
Cl -1.2818 5.1413 11.0119
Cl -5.9175 -0.0506 10.2243
Cl 3.1452 2.0110 4.0149
Cl -6.3232 3.7892 8.6699
Cl 4.8655 2.6192 7.3505
Cl -4.8655 5.6989 12.1530
```

Output
SG ... Ia-3d, No. 230
Formation energy (no corrections) ... -1.856 eV/atom